1.
This record from OQMD describes NaHoZnS3 after structural relaxation. The functional is GGA-PBE.

a b c (Å): 7.9205 3.9164 9.4804
angles (deg): 90.00 104.75 90.00
Sites, in units of the cell vectors:
Zn (0.0814, 0.2500, 0.1045)
Zn (0.9186, 0.7500, 0.8955)
Ho (0.6747, 0.2500, 0.6453)
Ho (0.3253, 0.7500, 0.3547)
Na (0.7981, 0.7500, 0.2938)
Na (0.2019, 0.2500, 0.7062)
S (0.4396, 0.7500, 0.6485)
S (0.5604, 0.2500, 0.3515)
S (0.0824, 0.2500, 0.3489)
S (0.7809, 0.2500, 0.9580)
S (0.2191, 0.7500, 0.0420)
S (0.9176, 0.7500, 0.6511)

=====

2.
This record from OQMD describes Sr3As4Pt4 after structural relaxation. The functional is GGA-PBE.

a b c (Å): 4.3232 4.3661 12.7381
angles (deg): 90.00 90.00 90.00
Sites, in units of the cell vectors:
As (0.5000, 0.0000, 0.1024)
As (0.5000, 0.0000, 0.8976)
As (0.5000, 0.5000, 0.3838)
As (0.5000, 0.5000, 0.6162)
Pt (0.0000, 0.5000, 0.5000)
Pt (0.5000, 0.5000, 0.1900)
Pt (0.5000, 0.5000, 0.8100)
Pt (0.5000, 0.0000, 0.5000)
Sr (0.0000, 0.5000, 0.0000)
Sr (0.0000, 0.0000, 0.7004)
Sr (0.0000, 0.0000, 0.2996)

=====

3.
This record from OQMD describes LuCuAsIr after structural relaxation. The functional is GGA-PBE.

a b c (Å): 4.5153 4.5153 4.5153
angles (deg): 60.00 60.00 60.00
Sites, in units of the cell vectors:
Cu (0.7500, 0.7500, 0.7500)
As (0.2500, 0.2500, 0.2500)
Lu (0.5000, 0.5000, 0.5000)
Ir (0.0000, 0.0000, 0.0000)

=====

4.
This record from OQMD describes AcUTl after structural relaxation. The functional is GGA-PBE.

a b c (Å): 5.4210 5.4210 5.4210
angles (deg): 60.00 60.00 60.00
Sites, in units of the cell vectors:
Tl (0.0000, 0.0000, 0.0000)
U (0.7500, 0.7500, 0.7500)
Ac (0.2500, 0.2500, 0.2500)

=====

5.
This record from OQMD describes Ta11Al4 after structural relaxation. The functional is GGA-PBE.

a b c (Å): 10.0957 10.0957 5.2610
angles (deg): 90.00 90.00 90.00
Sites, in units of the cell vectors:
Al (0.6811, 0.6811, 0.2508)
Al (0.8189, 0.1811, 0.7508)
Al (0.3189, 0.3189, 0.7492)
Al (0.1811, 0.8189, 0.7508)
Al (0.1811, 0.8189, 0.2492)
Al (0.6811, 0.6811, 0.7492)
Al (0.8189, 0.1811, 0.2492)
Al (0.3189, 0.3189, 0.2508)
Ta (0.5000, 0.5000, 0.0000)
Ta (0.0000, 0.0000, 0.5000)
Ta (0.3688, 0.0344, 0.0000)
Ta (0.6000, 0.4000, 0.5000)
Ta (0.2370, 0.5671, 0.0000)
Ta (0.5344, 0.1312, 0.5000)
Ta (0.5671, 0.2370, 0.0000)
Ta (0.6312, 0.9656, 0.0000)
Ta (0.9000, 0.9000, 0.0000)
Ta (0.2630, 0.0671, 0.5000)
Ta (0.7630, 0.4329, 0.0000)
Ta (0.4656, 0.8688, 0.5000)
Ta (0.4329, 0.7630, 0.0000)
Ta (0.1000, 0.1000, 0.0000)
Ta (0.8688, 0.4656, 0.5000)
Ta (0.0344, 0.3688, 0.0000)
Ta (0.1312, 0.5344, 0.5000)
Ta (0.0671, 0.2630, 0.5000)
Ta (0.9329, 0.7370, 0.5000)
Ta (0.7370, 0.9329, 0.5000)
Ta (0.4000, 0.6000, 0.5000)
Ta (0.9656, 0.6312, 0.0000)

=====

6.
This record from OQMD describes LuHfPt2 after structural relaxation. The functional is GGA-PBE.

Properties
Formation enthalpy at 0 K   -0.748 eV/atom

a b c (Å): 4.6623 4.6623 4.6623
angles (deg): 60.00 60.00 60.00
Sites, in units of the cell vectors:
Lu (0.5000, 0.5000, 0.5000)
Hf (0.7500, 0.7500, 0.7500)
Pt (0.2500, 0.2500, 0.2500)
Pt (0.0000, 0.0000, 0.0000)

=====

no.,calculated volume (Å³ per cell),calculated total energy (eV per atom)
1,284,-4.6766
2,240,-5.2535
3,65,-5.8617
4,113,-5.1729
5,536,-9.6980
6,72,-7.3961